Model i:
Here is a relaxed structure of Sb2TeMoH from Alexandria. Energies are from PBE.

SG	No. 123

Cell: 5.2419 5.2419 5.2004 Å, 90.00 90.00 90.00°
Atoms (fractional coordinates):
Sb 0.0000 0.5000 0.0000
Sb 0.5000 0.0000 0.0000
Te 0.0000 0.0000 0.5000
Mo 0.0000 0.0000 0.0000
H 0.5000 0.5000 0.5000



Model ii:
Here is a relaxed structure of Sb2TeMoH from Alexandria. Energies are from PBE.

SG	No. 123

Cell: 4.3539 4.3539 5.4686 Å, 90.00 90.00 90.00°
Atoms (fractional coordinates):
Sb 0.0000 0.5000 0.0000
Sb 0.5000 0.0000 0.0000
Te 0.0000 0.0000 0.5000
Mo 0.5000 0.5000 0.5000
H 0.0000 0.0000 0.0000



If you had to bet on the most stable structure above, which would it be? Bet on model ii.